# 1
First-principles (PBE) data for a relaxed structure of Zr5Si2Ge2, as listed in the Alexandria database.

Calculated values
formation energy (no corrections) = -850 meV/atom
VASP energy = -140.95 eV/cell

Unit cell a=7.745 b=7.745 c=7.112 alpha=90.00 beta=90.00 gamma=55.06
Fractional coordinates of all 18 atoms:
Zr1 0.000 0.000 0.000
Zr2 0.037 0.695 0.669
Zr3 0.195 0.537 0.169
Zr4 0.305 0.963 0.669
Zr5 0.463 0.805 0.169
Zr6 0.500 0.500 0.500
Zr7 0.537 0.195 0.831
Zr8 0.695 0.037 0.331
Zr9 0.805 0.463 0.831
Zr10 0.963 0.305 0.331
Si1 0.124 0.876 0.376
Si2 0.376 0.624 0.876
Si3 0.624 0.376 0.124
Si4 0.876 0.124 0.624
Ge1 0.207 0.207 0.000
Ge2 0.293 0.293 0.500
Ge3 0.707 0.707 0.500
Ge4 0.793 0.793 0.000

---

# 2
First-principles (PBE) data for a relaxed structure of Si2P, as listed in the Alexandria database.

Calculated values
formation energy (no corrections) = 57 meV/atom
distance to the lowest polymorph of the same formula = 0.161 eV/f.u.
VASP energy = -32.17 eV/cell

Unit cell a=5.313 b=5.313 c=6.270 alpha=105.55 beta=105.55 gamma=42.06
Fractional coordinates of all 6 atoms:
Si1 0.000 0.000 0.000
Si2 0.117 0.117 0.716
Si3 0.546 0.546 0.226
Si4 0.785 0.785 0.447
P1 0.425 0.425 0.484
P2 0.766 0.766 0.801

---

Question: What is the formula in the second record?
Answer: Si2P

---

Question: Among the records above, which one has the lowest VASP energy?
Answer: Zr5Si2Ge2

---

Question: Which of these has the lowest VASP energy?
Answer: Zr5Si2Ge2

---

Question: Which of these has the lowest formation energy (no corrections)?
Answer: Zr5Si2Ge2